[1]
The following is a DFT calculation (PBE) of a relaxed structure of Ac6LaPr2.

a b c (Å): 3.9161 3.9161 29.1460
angles (deg): 90.00 90.00 120.00
Positions (direct):
Ac (0.6667, 0.3333, 0.8917)
Ac (0.3333, 0.6667, 0.4341)
Ac (0.3333, 0.6667, 0.7787)
Ac (0.3333, 0.6667, 0.2213)
Ac (0.3333, 0.6667, 0.5659)
Ac (0.6667, 0.3333, 0.1083)
La (0.3333, 0.6667, 0.0000)
Pr (0.6667, 0.3333, 0.3299)
Pr (0.6667, 0.3333, 0.6701)

Summary:
**N(E_F)**: 18.2 states/eV/cell
**VASP energy**: -4.278 eV per atom
**Formation enthalpy at 0 K**: 71 meV per atom
**SG**: P-6m2, No. 187

=====

[2]
The following is a DFT calculation (PBE) of a relaxed structure of Pm12Tm6In.

a b c (Å): 8.6615 8.6615 8.6615
angles (deg): 97.87 97.87 97.87
Positions (direct):
Pm (0.5782, 0.1717, 0.5780)
Pm (0.1717, 0.5780, 0.5782)
Pm (0.5780, 0.5782, 0.1717)
Pm (0.4218, 0.8283, 0.4220)
Pm (0.8283, 0.4220, 0.4218)
Pm (0.4220, 0.4218, 0.8283)
Pm (0.2592, 0.0006, 0.7407)
Pm (0.2593, 0.7408, 0.9994)
Pm (0.9994, 0.2593, 0.7408)
Pm (0.7408, 0.9994, 0.2593)
Pm (0.7407, 0.2592, 0.0006)
Pm (0.0006, 0.7407, 0.2592)
Tm (0.1362, 0.1370, 0.4052)
Tm (0.8630, 0.5948, 0.8638)
Tm (0.5948, 0.8638, 0.8630)
Tm (0.8638, 0.8630, 0.5948)
Tm (0.1370, 0.4052, 0.1362)
Tm (0.4052, 0.1362, 0.1370)
In (0.0000, 0.0000, 0.0000)

Summary:
**N(E_F)**: 26.4 states/eV/cell
**VASP energy**: -4.468 eV per atom
**Formation enthalpy at 0 K**: 89 meV per atom
**SG**: R-3, No. 148

=====

[3]
The following is a DFT calculation (PBE) of a relaxed structure of MnFe2PdC.

a b c (Å): 3.7717 3.7717 3.8010
angles (deg): 90.00 90.00 90.00
Positions (direct):
C (0.0000, 0.0000, 0.0000)
Mn (0.0000, 0.0000, 0.5000)
Fe (0.0000, 0.5000, 0.0000)
Fe (0.5000, 0.0000, 0.0000)
Pd (0.5000, 0.5000, 0.5000)

Summary:
**N(E_F)**: 9.1 states/eV/cell
**VASP energy**: -7.875 eV per atom
**Formation enthalpy at 0 K**: 228 meV per atom
**SG**: P4/mmm, No. 123

=====

[4]
The following is a DFT calculation (PBE) of a relaxed structure of ScIn2Mo.

a b c (Å): 5.1682 5.1682 5.5015
angles (deg): 81.08 81.08 34.51
Positions (direct):
In (0.0065, 0.0065, 0.9855)
In (0.4935, 0.4935, 0.5145)
Mo (0.7500, 0.7500, 0.7500)
Sc (0.2500, 0.2500, 0.2500)

Summary:
**N(E_F)**: 2.0 states/eV/cell
**VASP energy**: -5.592 eV per atom
**Formation enthalpy at 0 K**: 68 meV per atom
**SG**: C2/m, No. 12

=====

The lowest formation enthalpy at 0 K belongs to which entry?
ScIn2Mo

=====

The highest N(E_F) belongs to which entry?
Pm12Tm6In